(1)
Tb4CuSn2 | GGA-PBE | optimized geometry

Output
For the calculated formation energy, the calculation gives -469 meV/atom. The value obtained for the total energy is -4.843 eV per atom. The calculation puts the density of states at the Fermi level at 6.9 states/eV/f.u. For the spin magnetization, the calculation gives 0.00 μB per formula unit.

```
Tb4CuSn2
1.0
-3.257 -3.169 -0.427
5.140 -4.559 -5.364
0.114 2.161 7.494
Tb Cu Sn
4 1 2
Direct
0.924 0.210 0.848
0.076 0.790 0.152
0.673 0.280 0.346
0.327 0.720 0.654
0.000 0.000 0.000
0.647 0.633 0.295
0.353 0.367 0.705
```

(2)
La8Ru3CBr4 | GGA-PBE | optimized geometry

Output
The value obtained for the total energy is -6.109 eV per atom. The calculation puts the density of states at the Fermi level at 8.4 states/eV/f.u. For the spin magnetization, the calculation gives 0.00 μB per formula unit. The value obtained for the uncorrected formation energy is -0.9115 eV/atom.

```
La8Ru3CBr4
1.0
-0.241 -0.092 -8.226
8.976 -1.910 -0.242
-4.742 -5.156 4.313
La Ru C Br
8 3 1 4
Direct
0.222 0.684 0.962
0.222 0.684 0.443
0.264 0.292 0.528
0.740 0.684 0.962
0.260 0.316 0.038
0.736 0.708 0.472
0.778 0.316 0.557
0.778 0.316 0.038
0.500 0.500 0.000
0.500 0.500 0.500
0.000 0.500 0.500
0.000 0.500 0.000
0.500 0.000 0.000
0.500 0.000 0.500
0.000 0.000 0.000
0.000 0.000 0.500
```